No. 1
The following is a PBE-GGA calculation of an optimized crystal structure of TbDy, from Alexandria via LeMat-Bulk.

abc: 4.0012 4.0012 4.0012
angles: 90.00 90.00 90.00
Fractional coordinates of all 2 atoms:
1 Tb 0.0000 0.0000 0.0000
2 Dy 0.5000 0.5000 0.5000

E in eV/atom: -4.473
Space group: Pm-3m (221)


No. 2
The following is a PBE-GGA calculation of an optimized crystal structure of BaMn2Se, from Alexandria via LeMat-Bulk.

abc: 4.5883 4.6149 5.2459
angles: 90.00 90.16 90.00
Fractional coordinates of all 4 atoms:
1 Ba 0.0000 0.0000 0.0000
2 Mn 0.4995 0.5000 0.7477
3 Mn 0.5005 0.5000 0.2523
4 Se 0.5000 0.0000 0.5000

Space group: P2/m (10)
E_form (uncorrected) in eV/atom: 0.017


No. 3
The following is a PBE-GGA calculation of an optimized crystal structure of ZrTlHgF6, from Alexandria via LeMat-Bulk.

abc: 6.5666 6.5666 10.1212
angles: 90.00 90.00 120.00
Fractional coordinates of all 18 atoms:
1 Zr 0.3333 0.6667 0.2500
2 Zr 0.6667 0.3333 0.7500
3 Tl 0.0000 0.0000 0.0000
4 Tl 0.0000 0.0000 0.5000
5 Hg 0.3333 0.6667 0.7500
6 Hg 0.6667 0.3333 0.2500
7 F 0.0723 0.4084 0.1375
8 F 0.0723 0.6640 0.3625
9 F 0.3360 0.4084 0.3625
10 F 0.3360 0.9277 0.1375
11 F 0.4084 0.0723 0.6375
12 F 0.4084 0.3360 0.8625
13 F 0.5916 0.6640 0.1375
14 F 0.5916 0.9277 0.3625
15 F 0.6640 0.0723 0.8625
16 F 0.6640 0.5916 0.6375
17 F 0.9277 0.3360 0.6375
18 F 0.9277 0.5916 0.8625

Space group: P-31c (163)
E_form (uncorrected) in eV/atom: -2.626


No. 4
The following is a PBE-GGA calculation of an optimized crystal structure of Hf2Al2Ag, from Alexandria via LeMat-Bulk.

abc: 6.6242 6.6242 4.2824
angles: 90.00 90.00 90.00
Fractional coordinates of all 10 atoms:
1 Hf 0.1632 0.3368 0.0000
2 Hf 0.3368 0.8368 0.0000
3 Hf 0.6632 0.1632 0.0000
4 Hf 0.8368 0.6632 0.0000
5 Al 0.1368 0.6368 0.5000
6 Al 0.3632 0.1368 0.5000
7 Al 0.6368 0.8632 0.5000
8 Al 0.8632 0.3632 0.5000
9 Ag 0.0000 0.0000 0.5000
10 Ag 0.5000 0.5000 0.5000

E in eV/atom: -6.337
Space group: P4/mbm (127)


| no. | DOS at the Fermi energy (states/eV per cell) | spin magnetization (μB/f.u.) |
| --- | --- | --- |
| 1 | 5.03 | 0.00 |
| 2 | 3.45 | 7.99 |
| 3 | 1.85 | 1.05 |
| 4 | 3.47 | 0.00 |